The following is a PBEsol calculation of a relaxed structure of CaSc2Mo, from Alexandria via LeMat-Bulk.

## Properties
* offset from the most stable computed form: 0.000 eV per atom
* formation energy: 0.34 eV/atom
* spin magnetization: 0.0 μB per formula unit

```
CaSc2Mo
1.0
3.5544 0.0000 0.0000
0.0000 3.5544 0.0000
0.0000 0.0000 7.5319
Sc Mo Ca
2 1 1
direct
0.0000 0.0000 0.9527
0.5000 0.5000 0.1878
0.5000 0.5000 0.8191
0.0000 0.0000 0.5405
```